Record 1
8
Lattice="-4.870 4.870 3.104 4.870 -4.870 3.104 4.870 4.870 -3.104" Properties=species:S:1:pos:R:3 comment="K2CdMo, optimized geometry, DFT PBE" delta_e_f_ev_per_atom=1.155 m_tot_mub_per_atom=1.0875 e_tot_ev_per_atom=-2.3306 dos_at_fermi_per_ev_cell=4.49 pbc="T T T"
K 7.304 2.267 -0.776
K 2.267 2.435 0.776
K -2.435 2.602 2.328
K 2.602 2.435 3.880
Cd 0.000 0.000 0.000
Cd 0.000 4.870 1.552
Mo 4.870 0.000 1.552
Mo 0.000 0.000 3.104

Record 2
8
Lattice="2.653 1.532 8.773 -2.653 1.532 8.773 0.000 -3.063 8.773" Properties=species:S:1:pos:R:3 comment="LaDyHo2Hg4, optimized geometry, DFT PBE" delta_e_f_ev_per_atom=-0.470 m_tot_mub_per_atom=0.0821 e_tot_ev_per_atom=-2.9568 dos_at_fermi_per_ev_cell=8.32 pbc="T T T"
La 0.000 0.000 0.000
Dy 0.000 0.000 13.159
Ho 0.000 0.000 6.546
Ho 0.000 0.000 19.772
Hg 0.000 0.000 3.357
Hg 0.000 0.000 9.989
Hg 0.000 0.000 16.330
Hg 0.000 0.000 22.961